The following is a GGA-PBE calculation of a relaxed Ac2ErC2I2 crystal, from the Alexandria database.

Cell lengths 9.995, 9.995, 9.995 Å; angles 153.16, 153.16, 38.32 degrees
Sites, in units of the cell vectors:
Ac: 0.089 0.089 0.000
Ac: 0.911 0.911 0.000
Er: 0.500 0.500 0.000
C: 0.000 0.500 0.500
C: 0.500 0.000 0.500
I: 0.326 0.326 0.000
I: 0.674 0.674 0.000

**Total energy**: -5.49 eV per atom
**Raw formation energy**: -0.5853 eV/atom
**Fermi-level density of states**: 2.5 states/eV/cell
**Calculated volume**: 29.0 Å³/atom


The following is a GGA-PBE calculation of a relaxed Ba2HgP2 crystal, from the Alexandria database.

Cell lengths 8.321, 8.321, 4.400 Å; angles 90.00, 90.00, 90.00 degrees
Sites, in units of the cell vectors:
Ba: 0.188 0.312 0.000
Ba: 0.312 0.812 0.000
Ba: 0.688 0.188 0.000
Ba: 0.812 0.688 0.000
Hg: 0.000 0.000 0.500
Hg: 0.500 0.500 0.500
P: 0.093 0.593 0.500
P: 0.407 0.093 0.500
P: 0.593 0.907 0.500
P: 0.907 0.407 0.500

**Total energy**: -3.81 eV per atom
**ΔE_f**: -0.82 eV/atom
**Fermi-level density of states**: 5.3 states/eV/cell
**Calculated volume**: 30.5 Å³/atom


The following is a GGA-PBE calculation of a relaxed Ce3Ni2Ir7 crystal, from the Alexandria database.

Cell lengths 9.036, 9.036, 9.036 Å; angles 34.25, 34.25, 34.25 degrees
Sites, in units of the cell vectors:
Ce: 0.000 0.000 0.000
Ce: 0.139 0.139 0.139
Ce: 0.861 0.861 0.861
Ni: 0.334 0.334 0.334
Ni: 0.666 0.666 0.666
Ir: 0.076 0.582 0.582
Ir: 0.418 0.418 0.924
Ir: 0.418 0.924 0.418
Ir: 0.500 0.500 0.500
Ir: 0.582 0.076 0.582
Ir: 0.582 0.582 0.076
Ir: 0.924 0.418 0.418

**Total energy**: -8.24 eV per atom
**ΔE_f**: -0.63 eV/atom
**Fermi-level density of states**: 12.0 states/eV/cell
**Calculated volume**: 17.4 Å³/atom


The following is a GGA-PBE calculation of a relaxed La2AlFeCo crystal, from the Alexandria database.

Cell lengths 5.280, 5.280, 4.505 Å; angles 90.00, 90.00, 90.00 degrees
Sites, in units of the cell vectors:
La: 0.000 0.500 0.000
La: 0.500 0.000 0.000
Al: 0.000 0.000 0.500
Fe: 0.500 0.500 0.500
Co: 0.500 0.500 0.000

**Total energy**: -5.66 eV per atom
**ΔE_f**: 0.17 eV/atom
**Fermi-level density of states**: 7.4 states/eV/cell
**Calculated volume**: 25.1 Å³/atom


The following is a GGA-PBE calculation of a relaxed Nd2AgRh crystal, from the Alexandria database.

Cell lengths 7.827, 7.827, 7.827 Å; angles 30.65, 30.65, 30.65 degrees
Sites, in units of the cell vectors:
Nd: 0.000 0.000 0.000
Nd: 0.193 0.193 0.193
Ag: 0.431 0.431 0.431
Rh: 0.596 0.596 0.596

**Total energy**: -5.35 eV per atom
**ΔE_f**: -0.42 eV/atom
**Fermi-level density of states**: 2.0 states/eV/cell
**Calculated volume**: 27.6 Å³/atom


The following is a GGA-PBE calculation of a relaxed CaTc2Pb crystal, from the Alexandria database.

Cell lengths 4.150, 4.150, 4.468 Å; angles 90.00, 90.00, 90.00 degrees
Sites, in units of the cell vectors:
Ca: 0.000 0.000 0.000
Tc: 0.000 0.500 0.500
Tc: 0.500 0.000 0.500
Pb: 0.500 0.500 0.000

**Total energy**: -5.93 eV per atom
**ΔE_f**: 0.68 eV/atom
**Fermi-level density of states**: 5.5 states/eV/cell
**Calculated volume**: 19.2 Å³/atom


The following is a GGA-PBE calculation of a relaxed NdDy crystal, from the Alexandria database.

Cell lengths 9.902, 9.902, 9.902 Å; angles 159.16, 42.21, 143.72 degrees
Sites, in units of the cell vectors:
Nd: 0.000 0.000 0.000
Nd: 0.178 0.335 0.843
Nd: 0.491 0.335 0.157
Dy: 0.504 0.004 0.500
Dy: 0.675 0.334 0.341
Dy: 0.993 0.334 0.659

**Total energy**: -4.56 eV per atom
**E above lowest polymorph**: 97 meV per atom
**ΔE_f**: 0.12 eV/atom
**Fermi-level density of states**: 10.9 states/eV/cell
**Calculated volume**: 34.0 Å³/atom


The following is a GGA-PBE calculation of a relaxed La2SbH crystal, from the Alexandria database.

Cell lengths 7.229, 7.229, 4.389 Å; angles 90.00, 90.00, 102.10 degrees
Sites, in units of the cell vectors:
La: 0.000 0.000 0.000
La: 0.000 0.500 0.000
La: 0.500 0.000 0.000
La: 0.500 0.500 0.500
Sb: 0.216 0.784 0.500
Sb: 0.784 0.216 0.500
H: 0.308 0.308 0.000
H: 0.692 0.692 0.000

**Total energy**: -5.04 eV per atom
**E above lowest polymorph**: 58 meV per atom
**Fermi-level density of states**: 6.5 states/eV/cell
**Calculated volume**: 28.0 Å³/atom


The following is a GGA-PBE calculation of a relaxed NaAlGa2 crystal, from the Alexandria database.

Cell lengths 3.197, 3.197, 7.890 Å; angles 90.00, 90.00, 90.00 degrees
Sites, in units of the cell vectors:
Na: 0.000 0.000 0.000
Al: 0.000 0.000 0.500
Ga: 0.500 0.500 0.289
Ga: 0.500 0.500 0.711

**Total energy**: -2.83 eV per atom
**ΔE_f**: -0.05 eV/atom
**Fermi-level density of states**: 0.8 states/eV/cell
**Calculated volume**: 20.2 Å³/atom


The following is a GGA-PBE calculation of a relaxed Pm2PdF8 crystal, from the Alexandria database.

Cell lengths 7.091, 7.091, 6.179 Å; angles 102.17, 102.17, 29.98 degrees
Sites, in units of the cell vectors:
Pm: 0.179 0.179 0.201
Pm: 0.821 0.821 0.799
Pd: 0.500 0.500 0.500
F: 0.021 0.021 0.308
F: 0.210 0.210 0.838
F: 0.329 0.329 0.514
F: 0.401 0.401 0.965
F: 0.599 0.599 0.035
F: 0.671 0.671 0.486
F: 0.790 0.790 0.162
F: 0.979 0.979 0.692

**Total energy**: -5.91 eV per atom
**Raw formation energy**: -3.2098 eV/atom
**Fermi-level density of states**: 0.0 states/eV/cell
**Calculated volume**: 13.8 Å³/atom


The following is a GGA-PBE calculation of a relaxed ReP2OsS crystal, from the Alexandria database.

Cell lengths 4.682, 4.682, 4.381 Å; angles 90.00, 90.00, 90.00 degrees
Sites, in units of the cell vectors:
Re: 0.000 0.000 0.000
P: 0.000 0.500 0.000
P: 0.500 0.000 0.000
Os: 0.500 0.500 0.500
S: 0.000 0.000 0.500

**Total energy**: -6.28 eV per atom
**Raw formation energy**: 1.4409 eV/atom
**E above lowest polymorph**: 0 meV per atom
**Fermi-level density of states**: 4.8 states/eV/cell
**Calculated volume**: 19.2 Å³/atom


The following is a GGA-PBE calculation of a relaxed V2AgSeN crystal, from the Alexandria database.

Cell lengths 4.815, 4.815, 3.911 Å; angles 90.00, 90.00, 90.00 degrees
Sites, in units of the cell vectors:
V: 0.000 0.500 0.000
V: 0.500 0.000 0.000
Ag: 0.000 0.000 0.500
Se: 0.500 0.500 0.000
N: 0.500 0.500 0.500

**Total energy**: -5.40 eV per atom
**Raw formation energy**: 1.1794 eV/atom
**Fermi-level density of states**: 4.9 states/eV/cell
**Calculated volume**: 18.1 Å³/atom